This record from Alexandria describes LaNdPb after structural relaxation. The functional is GGA-PBE.

Unit cell a=6.132 b=3.620 c=9.614 alpha=79.15 beta=90.00 gamma=90.00
Sites, in units of the cell vectors:
La: 0.750 0.669 0.663
La: 0.250 0.331 0.337
Nd: 0.500 0.000 0.000
Nd: 0.000 0.000 0.000
Pb: 0.750 0.844 0.312
Pb: 0.250 0.156 0.688

Values from the calculation:
Spin magnetization ... 0.0 μB per cell
Theoretical density ... 7.77 g/cm3
Energy of formation ... -0.211 eV per atom
Distance to the lowest polymorph of the same formula ... 255 meV/atom
Calculated volume ... 104.8 Å³/f.u.
Raw total energy ... -28.1 eV/cell
D(E_F) ... 1.25 states/eV per atom

***

This record from Alexandria describes BaSr8In2 after structural relaxation. The functional is GGA-PBE.

Unit cell a=5.632 b=9.504 c=10.900 alpha=111.38 beta=104.97 gamma=90.00
Sites, in units of the cell vectors:
Ba: 0.500 0.000 0.000
Sr: 0.607 0.493 0.215
Sr: 0.316 0.061 0.633
Sr: 0.186 0.290 0.372
Sr: 0.045 0.732 0.089
Sr: 0.814 0.710 0.628
Sr: 0.684 0.939 0.367
Sr: 0.393 0.507 0.785
Sr: 0.955 0.268 0.911
In: 0.202 0.693 0.403
In: 0.798 0.307 0.597

Values from the calculation:
Spin magnetization ... 0.0 μB per cell
Theoretical density ... 3.40 g/cm3
Energy of formation ... -0.141 eV per atom
Calculated volume ... 522.0 Å³/f.u.
Raw total energy ... -22.4 eV/cell
D(E_F) ... 1.19 states/eV per atom

***

This record from Alexandria describes CaAcSi2 after structural relaxation. The functional is GGA-PBE.

Unit cell a=3.895 b=3.895 c=6.669 alpha=90.00 beta=90.00 gamma=90.00
Sites, in units of the cell vectors:
Ac: 0.500 0.500 0.000
Si: 0.000 0.000 0.690
Si: 0.000 0.000 0.310
Ca: 0.500 0.500 0.500

Values from the calculation:
Spin magnetization ... 0.0 μB per cell
Theoretical density ... 5.31 g/cm3
Formation energy (no corrections) ... -323 meV per atom
Calculated volume ... 101.2 Å³/f.u.
Raw total energy ... -18.2 eV/cell
D(E_F) ... 0.64 states/eV per atom

***

This record from Alexandria describes NdSmAu2 after structural relaxation. The functional is GGA-PBE.

Unit cell a=3.689 b=3.689 c=7.409 alpha=90.00 beta=90.00 gamma=90.00
Sites, in units of the cell vectors:
Nd: 0.500 0.500 0.500
Au: 0.000 0.000 0.759
Au: 0.000 0.000 0.241
Sm: 0.500 0.500 0.000

Values from the calculation:
Spin magnetization ... 0.0 μB per cell
Theoretical density ... 11.34 g/cm3
Energy of formation ... -0.783 eV per atom
Calculated volume ... 100.8 Å³/f.u.
Raw total energy ... -19.2 eV/cell
D(E_F) ... 0.60 states/eV per atom

***

This record from Alexandria describes PC after structural relaxation. The functional is GGA-PBE.

Unit cell a=2.928 b=2.928 c=6.815 alpha=90.00 beta=90.00 gamma=120.00
Sites, in units of the cell vectors:
P: 0.333 0.667 0.746
P: 0.667 0.333 0.246
C: 0.333 0.667 0.336
C: 0.667 0.333 0.836

Values from the calculation:
Spin magnetization ... 0.0 μB per cell
Theoretical density ... 2.82 g/cm3
Energy of formation ... 0.769 eV per atom
Distance to the lowest polymorph of the same formula ... 457 meV/atom
Calculated volume ... 25.3 Å³/f.u.
Raw total energy ... -26.2 eV/cell
D(E_F) ... 0.19 states/eV per atom

***

This record from Alexandria describes LaTbSb after structural relaxation. The functional is GGA-PBE.

Unit cell a=4.605 b=4.605 c=8.882 alpha=90.00 beta=90.00 gamma=90.00
Sites, in units of the cell vectors:
La: 0.750 0.250 0.647
La: 0.250 0.750 0.353
Tb: 0.750 0.750 0.000
Tb: 0.250 0.250 0.000
Sb: 0.250 0.750 0.732
Sb: 0.750 0.250 0.268

Values from the calculation:
Spin magnetization ... 0.0 μB per cell
Theoretical density ... 7.40 g/cm3
Formation energy (no corrections) ... -864 meV per atom
Calculated volume ... 94.2 Å³/f.u.
Raw total energy ... -32.5 eV/cell
D(E_F) ... 1.13 states/eV per atom

***

This record from Alexandria describes Ac5CdSi2 after structural relaxation. The functional is GGA-PBE.

Unit cell a=8.236 b=8.236 c=9.942 alpha=114.47 beta=114.47 gamma=90.00
Sites, in units of the cell vectors:
Ac: 0.537 0.685 0.722
Ac: 0.815 0.963 0.278
Ac: 0.000 0.000 0.000
Ac: 0.500 0.500 0.000
Ac: 0.185 0.037 0.722
Ac: 0.685 0.185 0.722
Ac: 0.037 0.537 0.722
Ac: 0.315 0.815 0.278
Ac: 0.963 0.463 0.278
Ac: 0.463 0.315 0.278
Cd: 0.750 0.750 0.500
Cd: 0.250 0.250 0.500
Si: 0.110 0.390 0.000
Si: 0.610 0.110 0.000
Si: 0.390 0.890 0.000
Si: 0.890 0.610 0.000

Values from the calculation:
Spin magnetization ... 0.0 μB per cell
Theoretical density ... 7.92 g/cm3
Formation energy (no corrections) ... -377 meV per atom
Calculated volume ... 273.3 Å³/f.u.
Raw total energy ... -70.6 eV/cell
D(E_F) ... 1.11 states/eV per atom

***

This record from Alexandria describes CsKAlPd2 after structural relaxation. The functional is GGA-PBE.

Unit cell a=5.474 b=6.103 c=5.474 alpha=90.00 beta=90.00 gamma=90.00
Sites, in units of the cell vectors:
Cs: 0.000 0.500 0.000
K: 0.000 0.000 0.000
Al: 0.500 0.500 0.500
Pd: 0.000 0.000 0.500
Pd: 0.500 0.000 0.000

Values from the calculation:
Spin magnetization ... 0.0 μB per cell
Theoretical density ... 3.74 g/cm3
Energy of formation ... 1.069 eV per atom
Calculated volume ... 182.8 Å³/f.u.
Raw total energy ... -10.7 eV/cell
D(E_F) ... 0.84 states/eV per atom